Material: Zn3Ir2
Method: DFT, PBE
State: optimized geometry

Results
Energy above the most stable polymorph in this dataset, meV per atom: 103.7
Magnetization, Bohr magnetons per cell: 0.0
Space group: P-3m1, No. 164

a = 4.2694 Å, b = 4.2694 Å, c = 5.1223 Å
α = 90.00°, β = 90.00°, γ = 120.00°
Last column: nearest neighbours and their distance in Å.
Fractional coordinates of all 5 atoms:
Zn: 0.0000 0.0000 0.0000  6 Ir 2.56
Zn: 0.3333 0.6667 0.3721  5 Ir 2.53-2.75, 3 Zn 2.79
Zn: 0.6667 0.3333 0.6279  5 Ir 2.53-2.75, 3 Zn 2.79
Ir: 0.3333 0.6667 0.8664  8 Zn 2.53-2.75, 3 Ir 2.82
Ir: 0.6667 0.3333 0.1336  8 Zn 2.53-2.75, 3 Ir 2.82

Material: ZnIr2
Method: DFT, PBE
State: optimized geometry

Results
Magnetization, Bohr magnetons per cell: 0.0
Space group: P-3m1, No. 164

a = 2.7560 Å, b = 2.7560 Å, c = 6.5621 Å
α = 90.00°, β = 90.00°, γ = 120.00°
Last column: nearest neighbours and their distance in Å.
Fractional coordinates of all 3 atoms:
Zn: 0.6667 0.3333 0.3333  6 Ir 2.70, 6 Zn 2.76
Ir: 0.0000 0.0000 0.0004  3 Zn 2.70, 9 Ir 2.71-2.76
Ir: 0.3333 0.6667 0.6663  3 Zn 2.70, 9 Ir 2.71-2.76

Material: ZnIr3
Method: DFT, PBE
State: optimized geometry

Results
Magnetization, Bohr magnetons per cell: 0.0
Space group: P-6m2, No. 187

a = 2.7503 Å, b = 2.7503 Å, c = 8.8084 Å
α = 90.00°, β = 90.00°, γ = 120.00°
Last column: nearest neighbours and their distance in Å.
Fractional coordinates of all 4 atoms:
Zn: 0.3333 0.6667 0.7500  6 Ir 2.69, 6 Zn 2.75
Ir: 0.0000 0.0000 0.5037  3 Zn 2.69, 9 Ir 2.74-2.75
Ir: 0.3333 0.6667 0.2500  12 Ir 2.74-2.75
Ir: 0.0000 0.0000 0.9963  3 Zn 2.69, 9 Ir 2.74-2.75

Material: Zn3Ir5
Method: DFT, PBE
State: optimized geometry

Results
Magnetization, Bohr magnetons per cell: 0.0
Space group: P-1, No. 2

a = 4.6459 Å, b = 8.7190 Å, c = 6.9225 Å
α = 96.68°, β = 113.49°, γ = 66.80°
Last column: nearest neighbours and their distance in Å.
Fractional coordinates of all 16 atoms:
Zn: 0.6872 0.0283 0.9333  2 Zn 2.49-2.53, 6 Ir 2.57-2.78
Zn: 0.3136 0.9717 0.0675  2 Zn 2.49-2.53, 6 Ir 2.57-2.78
Zn: 0.7621 0.8797 0.4988  1 Zn 2.52, 7 Ir 2.58-2.81
Zn: 0.3721 0.4899 0.1645  8 Ir 2.52-2.74
Zn: 0.6288 0.5101 0.8362  8 Ir 2.52-2.74
Zn: 0.2387 0.1203 0.5020  1 Zn 2.52, 7 Ir 2.58-2.81
Ir: 0.0611 0.7253 0.8879  5 Zn 2.52-2.78, 4 Ir 2.65-2.81
Ir: 0.6111 0.1711 0.2770  5 Zn 2.58-2.82, 4 Ir 2.65-2.71
Ir: 0.3898 0.8289 0.7237  5 Zn 2.58-2.82, 4 Ir 2.65-2.71
Ir: 0.2541 0.3341 0.8210  5 Zn 2.57-2.74, 3 Ir 2.65-2.76
Ir: 0.8358 0.1692 0.7002  5 Zn 2.57-2.81, 4 Ir 2.67-2.81
Ir: 0.7283 0.5800 0.5287  6 Ir 2.53-2.81, 3 Zn 2.53-2.71
Ir: 0.7467 0.6659 0.1797  5 Zn 2.57-2.74, 3 Ir 2.65-2.76
Ir: 0.2725 0.4200 0.4720  6 Ir 2.53-2.82, 3 Zn 2.53-2.71
Ir: 0.9398 0.2746 0.1129  5 Zn 2.52-2.78, 4 Ir 2.65-2.82
Ir: 0.1651 0.8308 0.3006  5 Zn 2.57-2.81, 4 Ir 2.67-2.81

Material: Zn13Ir2
Method: DFT, PBE
State: optimized geometry

Results
Magnetization, Bohr magnetons per cell: 0.0
Space group: R-3m, No. 166

a = 7.0755 Å, b = 7.0755 Å, c = 7.4762 Å
α = 61.76°, β = 61.76°, γ = 60.00°
Last column: nearest neighbours and their distance in Å.
Fractional coordinates of all 15 atoms:
Zn: 0.2679 0.9058 0.5585  8 Zn 2.56-2.83, 1 Ir 2.72
Zn: 0.0942 0.7321 0.4415  8 Zn 2.56-2.83, 1 Ir 2.72
Zn: 0.4856 0.4856 0.1704  4 Zn 2.37-2.64, 1 Ir 2.57
Zn: 0.2679 0.2679 0.5585  8 Zn 2.56-2.83, 1 Ir 2.72
Zn: 0.4856 0.8585 0.1704  4 Zn 2.37-2.64, 1 Ir 2.57
Zn: 0.7321 0.0942 0.4415  8 Zn 2.56-2.83, 1 Ir 2.72
Zn: 0.1415 0.5144 0.8296  4 Zn 2.37-2.64, 1 Ir 2.57
Zn: 0.5144 0.5144 0.8296  4 Zn 2.37-2.64, 1 Ir 2.57
Zn: 0.5144 0.1415 0.8296  4 Zn 2.37-2.64, 1 Ir 2.57
Zn: 0.9058 0.2679 0.5585  8 Zn 2.56-2.83, 1 Ir 2.72
Zn: 0.5000 0.5000 0.5000  12 Zn 2.57-2.63
Zn: 0.8585 0.4856 0.1704  4 Zn 2.37-2.64, 1 Ir 2.57
Zn: 0.7321 0.7321 0.4415  8 Zn 2.56-2.83, 1 Ir 2.72
Ir: 0.2688 0.2688 0.1935  9 Zn 2.57-2.74
Ir: 0.7312 0.7312 0.8065  9 Zn 2.57-2.74

Material: ZnIr3
Method: DFT, PBE
State: optimized geometry

Results
Magnetization, Bohr magnetons per cell: 0.0
Space group: Pnma, No. 62

a = 4.7599 Å, b = 8.9227 Å, c = 5.4514 Å
α = 90.00°, β = 90.00°, γ = 90.00°
Last column: nearest neighbours and their distance in Å.
Fractional coordinates of all 16 atoms:
Ir: 0.7421 0.4954 0.6223  9 Ir 2.66-2.80, 3 Zn 2.73-2.77
Ir: 0.2421 0.4954 0.8777  9 Ir 2.66-2.80, 3 Zn 2.73-2.77
Ir: 0.5823 0.7500 0.3686  8 Ir 2.68-2.77, 4 Zn 2.72-2.81
Ir: 0.4177 0.2500 0.6314  8 Ir 2.68-2.77, 4 Zn 2.72-2.81
Ir: 0.7421 0.0046 0.6223  9 Ir 2.66-2.80, 3 Zn 2.73-2.77
Ir: 0.7579 0.5046 0.1223  9 Ir 2.66-2.80, 3 Zn 2.73-2.77
Ir: 0.2421 0.0046 0.8777  9 Ir 2.66-2.80, 3 Zn 2.73-2.77
Ir: 0.0823 0.7500 0.1314  8 Ir 2.68-2.77, 4 Zn 2.72-2.81
Ir: 0.2579 0.5046 0.3777  9 Ir 2.66-2.80, 3 Zn 2.73-2.77
Ir: 0.2579 0.9954 0.3777  9 Ir 2.66-2.80, 3 Zn 2.73-2.77
Ir: 0.7579 0.9954 0.1223  9 Ir 2.66-2.80, 3 Zn 2.73-2.77
Ir: 0.9177 0.2500 0.8686  8 Ir 2.68-2.77, 4 Zn 2.72-2.81
Zn: 0.5745 0.7500 0.8683  2 Zn 2.71, 10 Ir 2.72-2.81
Zn: 0.0745 0.7500 0.6317  2 Zn 2.71, 10 Ir 2.72-2.81
Zn: 0.9255 0.2500 0.3683  2 Zn 2.71, 10 Ir 2.72-2.81
Zn: 0.4255 0.2500 0.1317  2 Zn 2.71, 10 Ir 2.72-2.81

Material: Zn8Ir
Method: DFT, PBE
State: optimized geometry

Results
Magnetization, Bohr magnetons per cell: 0.0
Space group: I4/mmm, No. 139

a = 3.8679 Å, b = 6.1239 Å, c = 6.1239 Å
α = 95.72°, β = 108.41°, γ = 71.59°
Last column: nearest neighbours and their distance in Å.
Fractional coordinates of all 9 atoms:
Ir: 0.0000 0.0000 0.0000  12 Zn 2.71-2.73
Zn: 0.3363 0.0000 0.6726  10 Zn 2.69-2.79, 2 Ir 2.71
Zn: 0.6637 0.0000 0.3274  10 Zn 2.69-2.79, 2 Ir 2.71
Zn: 0.3321 0.6679 0.3321  1 Ir 2.73, 11 Zn 2.73-2.76
Zn: 0.0000 0.6679 0.6679  1 Ir 2.73, 11 Zn 2.73-2.76
Zn: 0.3363 0.3274 0.0000  10 Zn 2.69-2.79, 2 Ir 2.71
Zn: 0.6637 0.6726 0.0000  10 Zn 2.69-2.79, 2 Ir 2.71
Zn: 0.6679 0.3321 0.6679  1 Ir 2.73, 11 Zn 2.73-2.76
Zn: 0.0000 0.3321 0.3321  1 Ir 2.73, 11 Zn 2.73-2.76

Material: Zn3Ir
Method: DFT, PBE
State: optimized geometry

Results
Magnetization, Bohr magnetons per cell: 0.0
Space group: Fmmm, No. 69

a = 3.8105 Å, b = 3.8105 Å, c = 8.2132 Å
α = 103.40°, β = 103.40°, γ = 89.92°
Last column: nearest neighbours and their distance in Å.
Fractional coordinates of all 8 atoms:
Ir: 0.8773 0.8773 0.7539  12 Zn 2.69-2.74
Ir: 0.1227 0.1227 0.2461  12 Zn 2.69-2.74
Zn: 0.5000 0.0000 0.0000  8 Zn 2.69-2.73, 4 Ir 2.70
Zn: 0.2502 0.7498 0.5000  8 Zn 2.69-2.71, 4 Ir 2.74
Zn: 0.7498 0.2502 0.5000  8 Zn 2.69-2.71, 4 Ir 2.74
Zn: 0.0000 0.5000 0.0000  8 Zn 2.69-2.73, 4 Ir 2.70
Zn: 0.6255 0.6255 0.2513  4 Ir 2.69-2.70, 8 Zn 2.71-2.73
Zn: 0.3745 0.3745 0.7487  4 Ir 2.69-2.70, 8 Zn 2.71-2.73

Material: Zn5Ir
Method: DFT, PBE
State: optimized geometry

Results
Magnetization, Bohr magnetons per cell: 0.0
Space group: Cmmm, No. 65

a = 3.8391 Å, b = 3.8328 Å, c = 6.1591 Å
α = 108.13°, β = 90.00°, γ = 90.00°
Last column: nearest neighbours and their distance in Å.
Fractional coordinates of all 6 atoms:
Zn: 0.5000 0.8342 0.6685  10 Zn 2.71-2.78, 2 Ir 2.73
Zn: 0.0000 0.6625 0.3250  2 Ir 2.70, 10 Zn 2.70-2.81
Zn: 0.5000 0.5000 0.0000  8 Zn 2.70-2.73, 4 Ir 2.71
Zn: 0.5000 0.1658 0.3315  10 Zn 2.71-2.78, 2 Ir 2.73
Zn: 0.0000 0.3375 0.6750  2 Ir 2.70, 10 Zn 2.70-2.81
Ir: 0.0000 0.0000 0.0000  12 Zn 2.70-2.73

Material: Zn3Ir2
Method: DFT, PBE
State: optimized geometry

Results
Energy above the most stable polymorph in this dataset, meV per atom: 0.0
Magnetization, Bohr magnetons per cell: 0.0
Space group: C2/m, No. 12

a = 2.8206 Å, b = 4.5784 Å, c = 6.0971 Å
α = 76.98°, β = 76.63°, γ = 72.06°
Last column: nearest neighbours and their distance in Å.
Fractional coordinates of all 5 atoms:
Zn: 0.8979 0.7892 0.4151  7 Zn 2.55-2.85, 5 Ir 2.72-2.74
Zn: 0.5000 0.0000 0.0000  6 Ir 2.62-2.70, 6 Zn 2.82-2.85
Zn: 0.1021 0.2108 0.5849  7 Zn 2.55-2.85, 5 Ir 2.72-2.74
Ir: 0.2930 0.6066 0.8074  8 Zn 2.62-2.74, 4 Ir 2.71-2.82
Ir: 0.7070 0.3934 0.1926  8 Zn 2.62-2.74, 4 Ir 2.71-2.82

Material: ZnIr2
Method: DFT, PBE
State: optimized geometry

Results
Magnetization, Bohr magnetons per cell: 0.0
Space group: C2/m, No. 12

a = 2.7629 Å, b = 5.2014 Å, c = 6.4832 Å
α = 74.85°, β = 90.00°, γ = 105.40°
Last column: nearest neighbours and their distance in Å.
Fractional coordinates of all 6 atoms:
Zn: 0.7206 0.4412 0.0550  8 Ir 2.66-2.77, 4 Zn 2.76
Zn: 0.3349 0.6699 0.3339  8 Ir 2.66-2.77, 4 Zn 2.76
Ir: 0.0616 0.1232 0.3844  5 Zn 2.67-2.75, 7 Ir 2.72-2.76
Ir: 0.6649 0.3298 0.6759  3 Zn 2.66-2.77, 9 Ir 2.70-2.76
Ir: 0.3906 0.7813 0.7130  3 Zn 2.66-2.77, 9 Ir 2.70-2.76
Ir: 0.9940 0.9880 0.0045  5 Zn 2.67-2.75, 7 Ir 2.72-2.76

Material: ZnIr2
Method: DFT, PBE
State: optimized geometry

Results
Magnetization, Bohr magnetons per cell: 0.0
Space group: P-62m, No. 189

a = 6.4667 Å, b = 6.4667 Å, c = 3.6793 Å
α = 90.00°, β = 90.00°, γ = 120.00°
Last column: nearest neighbours and their distance in Å.
Fractional coordinates of all 9 atoms:
Zn: 0.3333 0.6667 0.0000  9 Ir 2.45-2.70
Zn: 0.6667 0.3333 0.0000  9 Ir 2.45-2.70
Zn: 0.0000 0.0000 0.5000  9 Ir 2.47-2.60
Ir: 0.4015 0.4015 0.5000  5 Zn 2.60-2.70, 2 Ir 2.88
Ir: 0.0000 0.5985 0.5000  5 Zn 2.60-2.70, 2 Ir 2.88
Ir: 0.2549 0.0000 0.0000  4 Zn 2.45-2.47
Ir: 0.5985 0.0000 0.5000  5 Zn 2.60-2.70, 2 Ir 2.88
Ir: 0.7451 0.7451 0.0000  4 Zn 2.45-2.47
Ir: 0.0000 0.2549 0.0000  4 Zn 2.45-2.47

Material: ZnIr2
Method: DFT, PBE
State: optimized geometry

Results
Magnetization, Bohr magnetons per cell: 0.0
Space group: I4/mmm, No. 139

a = 6.0801 Å, b = 6.0801 Å, c = 6.0801 Å
α = 153.91°, β = 153.91°, γ = 37.24°
Last column: nearest neighbours and their distance in Å.
Fractional coordinates of all 3 atoms:
Ir: 0.0034 0.0034 0.0000  8 Ir 2.68-2.75, 4 Zn 2.76
Ir: 0.6632 0.6632 0.0000  8 Ir 2.68-2.75, 4 Zn 2.76
Zn: 0.3333 0.3333 0.0000  4 Zn 2.75, 8 Ir 2.76

Material: ZnIr3
Method: DFT, PBE
State: optimized geometry

Results
Magnetization, Bohr magnetons per cell: 0.0
Space group: Pm-3n, No. 223

a = 4.9313 Å, b = 4.9313 Å, c = 4.9313 Å
α = 90.00°, β = 90.00°, γ = 90.00°
Last column: nearest neighbours and their distance in Å.
Fractional coordinates of all 8 atoms:
Ir: 0.0000 0.7500 0.5000  2 Ir 2.47, 4 Zn 2.76
Ir: 0.7500 0.5000 0.0000  2 Ir 2.47, 4 Zn 2.76
Ir: 0.0000 0.2500 0.5000  2 Ir 2.47, 4 Zn 2.76
Ir: 0.5000 0.0000 0.2500  2 Ir 2.47, 4 Zn 2.76
Ir: 0.5000 0.0000 0.7500  2 Ir 2.47, 4 Zn 2.76
Ir: 0.2500 0.5000 0.0000  2 Ir 2.47, 4 Zn 2.76
Zn: 0.0000 0.0000 0.0000  12 Ir 2.76
Zn: 0.5000 0.5000 0.5000  12 Ir 2.76

Material: ZnIr3
Method: DFT, PBE
State: optimized geometry

Results
Magnetization, Bohr magnetons per cell: 0.0
Space group: R-3m, No. 166

a = 2.7351 Å, b = 5.0722 Å, c = 5.0722 Å
α = 116.84°, β = 79.65°, γ = 79.65°
Last column: nearest neighbours and their distance in Å.
Fractional coordinates of all 4 atoms:
Zn: 0.0000 0.5000 0.5000  6 Ir 2.66, 2 Zn 2.74
Ir: 0.5000 0.5000 0.0000  2 Zn 2.66, 6 Ir 2.66-2.74
Ir: 0.0000 0.0000 0.0000  6 Ir 2.66-2.74, 2 Zn 2.66
Ir: 0.5000 0.0000 0.5000  6 Ir 2.66-2.74, 2 Zn 2.66

Material: ZnIr
Method: DFT, PBE
State: optimized geometry

Results
Magnetization, Bohr magnetons per cell: 3.4
Space group: I4/mmm, No. 139

a = 7.7561 Å, b = 7.7561 Å, c = 4.3285 Å
α = 90.00°, β = 90.00°, γ = 90.00°
Last column: nearest neighbours and their distance in Å.
Fractional coordinates of all 16 atoms:
Zn: 0.2330 0.5000 0.0000  6 Ir 2.60-2.64
Zn: 0.5000 0.2330 0.0000  6 Ir 2.60-2.64
Zn: 0.7670 0.5000 0.0000  6 Ir 2.60-2.64
Zn: 0.7330 0.0000 0.5000  6 Ir 2.60-2.64
Zn: 0.0000 0.7330 0.5000  6 Ir 2.60-2.64
Zn: 0.2670 0.0000 0.5000  6 Ir 2.60-2.64
Zn: 0.0000 0.2670 0.5000  6 Ir 2.60-2.64
Zn: 0.5000 0.7670 0.0000  6 Ir 2.60-2.64
Ir: 0.8297 0.8297 0.0000  6 Zn 2.60-2.64, 4 Ir 2.64-2.78
Ir: 0.1703 0.1703 0.0000  6 Zn 2.60-2.64, 4 Ir 2.64-2.78
Ir: 0.8297 0.1703 0.0000  6 Zn 2.60-2.64, 4 Ir 2.64-2.78
Ir: 0.3297 0.6703 0.5000  6 Zn 2.60-2.64, 4 Ir 2.64-2.78
Ir: 0.6703 0.3297 0.5000  6 Zn 2.60-2.64, 4 Ir 2.64-2.78
Ir: 0.3297 0.3297 0.5000  6 Zn 2.60-2.64, 4 Ir 2.64-2.78
Ir: 0.6703 0.6703 0.5000  6 Zn 2.60-2.64, 4 Ir 2.64-2.78
Ir: 0.1703 0.8297 0.0000  6 Zn 2.60-2.64, 4 Ir 2.64-2.78

Material: Zn15Ir
Method: DFT, PBE
State: optimized geometry

Results
Magnetization, Bohr magnetons per cell: 0.0
Space group: P-6m2, No. 187

a = 5.4173 Å, b = 5.4173 Å, c = 9.2655 Å
α = 90.00°, β = 90.00°, γ = 120.00°
Last column: nearest neighbours and their distance in Å.
Fractional coordinates of all 16 atoms:
Zn: 0.4969 0.9937 0.0000  10 Zn 2.66-2.89, 2 Ir 2.71
Zn: 0.9945 0.4972 0.5000  12 Zn 2.66-2.84
Zn: 0.5028 0.4972 0.5000  12 Zn 2.66-2.84
Zn: 0.5028 0.0055 0.5000  12 Zn 2.66-2.84
Zn: 0.4969 0.5031 0.0000  10 Zn 2.66-2.89, 2 Ir 2.71
Zn: 0.8337 0.6674 0.7572  11 Zn 2.70-2.85, 1 Ir 2.74
Zn: 0.3326 0.1663 0.2428  11 Zn 2.70-2.85, 1 Ir 2.74
Zn: 0.8337 0.1663 0.7572  11 Zn 2.70-2.85, 1 Ir 2.74
Zn: 0.8337 0.1663 0.2428  11 Zn 2.70-2.85, 1 Ir 2.74
Zn: 0.3326 0.1663 0.7572  11 Zn 2.70-2.85, 1 Ir 2.74
Zn: 0.3333 0.6667 0.7352  12 Zn 2.70-2.89
Zn: 0.0000 0.0000 0.5000  12 Zn 2.71-2.85
Zn: 0.8337 0.6674 0.2428  11 Zn 2.70-2.85, 1 Ir 2.74
Zn: 0.3333 0.6667 0.2648  12 Zn 2.70-2.89
Zn: 0.0063 0.5031 0.0000  10 Zn 2.66-2.89, 2 Ir 2.71
Ir: 0.0000 0.0000 0.0000  12 Zn 2.71-2.74

Material: Zn2Ir3
Method: DFT, PBE
State: optimized geometry

Results
Energy above the most stable polymorph in this dataset, meV per atom: 473.0
Magnetization, Bohr magnetons per cell: 0.0
Space group: P-3m1, No. 164

a = 4.1269 Å, b = 4.1269 Å, c = 5.2189 Å
α = 90.00°, β = 90.00°, γ = 120.00°
Last column: nearest neighbours and their distance in Å.
Fractional coordinates of all 5 atoms:
Zn: 0.6667 0.3333 0.1568  8 Ir 2.50-2.72
Zn: 0.3333 0.6667 0.8432  8 Ir 2.50-2.72
Ir: 0.0000 0.0000 0.0000  6 Zn 2.52
Ir: 0.3333 0.6667 0.3641  5 Zn 2.50-2.72, 3 Ir 2.77
Ir: 0.6667 0.3333 0.6359  5 Zn 2.50-2.72, 3 Ir 2.77

Material: Zn3Ir2
Method: DFT, PBE
State: optimized geometry

Results
Energy above the most stable polymorph in this dataset, meV per atom: 182.2
Magnetization, Bohr magnetons per cell: 0.0
Space group: R-3m, No. 166

a = 5.0493 Å, b = 5.0493 Å, c = 7.4357 Å
α = 70.15°, β = 70.15°, γ = 60.00°
Last column: nearest neighbours and their distance in Å.
Fractional coordinates of all 10 atoms:
Ir: 0.3140 0.3140 0.0581  9 Zn 2.56-2.85, 1 Ir 2.63
Ir: 0.6860 0.6860 0.9419  9 Zn 2.56-2.85, 1 Ir 2.63
Ir: 0.1860 0.1860 0.4419  9 Zn 2.56-2.85, 1 Ir 2.63
Ir: 0.8140 0.8140 0.5581  9 Zn 2.56-2.85, 1 Ir 2.63
Zn: 0.7503 0.2500 0.2500  4 Zn 2.52, 2 Ir 2.56
Zn: 0.2503 0.2497 0.7500  4 Zn 2.52, 2 Ir 2.56
Zn: 0.7497 0.7503 0.2500  4 Zn 2.52, 2 Ir 2.56
Zn: 0.2497 0.7500 0.7500  4 Zn 2.52, 2 Ir 2.56
Zn: 0.7500 0.2503 0.7500  4 Zn 2.52, 2 Ir 2.56
Zn: 0.2500 0.7497 0.2500  4 Zn 2.52, 2 Ir 2.56

Material: Zn7Ir
Method: DFT, PBE
State: optimized geometry

Results
Magnetization, Bohr magnetons per cell: 0.0
Space group: Fm-3m, No. 225

a = 5.4585 Å, b = 5.4585 Å, c = 5.4585 Å
α = 60.00°, β = 60.00°, γ = 60.00°
Last column: nearest neighbours and their distance in Å.
Fractional coordinates of all 8 atoms:
Ir: 0.0000 0.0000 0.0000  12 Zn 2.73
Zn: 0.5000 0.5000 0.0000  2 Ir 2.73, 10 Zn 2.73
Zn: 0.0000 0.0000 0.5000  10 Zn 2.73, 2 Ir 2.73
Zn: 0.0000 0.5000 0.5000  10 Zn 2.73, 2 Ir 2.73
Zn: 0.5000 0.0000 0.5000  10 Zn 2.73, 2 Ir 2.73
Zn: 0.5000 0.5000 0.5000  12 Zn 2.73
Zn: 0.0000 0.5000 0.0000  10 Zn 2.73, 2 Ir 2.73
Zn: 0.5000 0.0000 0.0000  10 Zn 2.73, 2 Ir 2.73

Respective E values: -4.345; -6.396; -6.995; -5.890; -2.169; -7.011; -2.171; -3.385; -2.662; -4.449; -6.362; -5.946; -6.395; -6.514; -6.705; -4.994; -1.813; -5.462; -4.266; -2.311 eV/atom.